(1)
A plane-wave DFT calculation with PBE was carried out for crystalline Ce3Zn5Pd2 at its relaxed geometry.

```
Ce3Zn5Pd2
1.0
-3.4697 3.7773 3.0251
-4.6035 -4.4359 6.1194
4.3898 3.0922 7.0346
Ce Zn Pd
6 10 4
Direct
0.2500 0.0000 0.0000
0.7500 0.0000 0.0000
0.3715 0.3929 0.8641
0.6285 0.6071 0.1359
0.8715 0.8641 0.3929
0.1285 0.1359 0.6071
0.2500 0.5000 0.5000
0.7500 0.5000 0.5000
0.5118 0.7382 0.7382
0.9882 0.2618 0.2618
0.4882 0.2618 0.2618
0.0118 0.7382 0.7382
0.1172 0.5172 0.2484
0.8828 0.4828 0.7516
0.6172 0.2484 0.5172
0.3828 0.7516 0.4828
0.1459 0.7032 0.0049
0.8541 0.2968 0.9951
0.6459 0.0049 0.7032
0.3541 0.9951 0.2968
```

E_form   -350.5 meV/atom

(2)
A plane-wave DFT calculation with PBE was carried out for crystalline CeZn9Pd2 at its relaxed geometry.

```
CeZn9Pd2
1.0
-5.5935 2.8338 2.9487
-0.0803 -0.2879 8.2656
0.7061 8.0551 1.7396
Ce Zn Pd
2 18 4
Direct
0.5000 0.0000 0.0000
0.2500 0.5000 0.5000
0.7500 0.5000 0.5000
0.0000 0.0000 0.0000
0.0089 0.9151 0.6725
0.5966 0.0849 0.3275
0.6741 0.1725 0.5849
0.4314 0.8275 0.4151
0.7411 0.8275 0.5849
0.1534 0.1725 0.4151
0.0759 0.9151 0.3275
0.3186 0.0849 0.6725
0.7411 0.5849 0.8275
0.1534 0.4151 0.1725
0.0759 0.3275 0.9151
0.3186 0.6725 0.0849
0.0089 0.6725 0.9151
0.5966 0.3275 0.0849
0.6741 0.5849 0.1725
0.4314 0.4151 0.8275
0.8750 0.2500 0.7500
0.8750 0.7500 0.2500
0.8750 0.2500 0.2500
0.3750 0.7500 0.7500
```

E_form   -356.3 meV/atom
Distance to the lowest polymorph of the same formula   0.0 meV per atom

(3)
A plane-wave DFT calculation with PBE was carried out for crystalline Ce2ZnPd at its relaxed geometry.

```
Ce2ZnPd
1.0
3.7373 0.0000 0.0000
0.0000 3.7373 0.0000
0.0000 0.0000 6.5820
Zn Pd Ce
1 1 2
Direct
0.5000 0.5000 0.5000
0.5000 0.5000 0.0000
0.0000 0.0000 0.7602
0.0000 0.0000 0.2398
```

E_form   -399.1 meV/atom
Distance to the lowest polymorph of the same formula   27.6 meV per atom

(4)
A plane-wave DFT calculation with PBE was carried out for crystalline CeZrPd at its relaxed geometry.

```
CeZrPd
1.0
-2.1859 -2.5332 -0.7490
-0.3977 -0.6455 3.3439
-8.3951 7.1321 0.3784
Ce Zr Pd
2 2 2
Direct
0.0000 0.5000 0.5986
0.5000 0.0000 0.4014
0.0000 0.5000 0.1984
0.5000 0.0000 0.8016
0.5000 0.0000 0.0734
0.0000 0.5000 0.9266
```

E_form   -335.7 meV/atom
Distance to the lowest polymorph of the same formula   20.0 meV per atom

(5)
A plane-wave DFT calculation with PBE was carried out for crystalline Ce2ZrPd at its relaxed geometry.

```
Ce2ZrPd
1.0
-0.0516 2.5369 2.0670
-3.2652 -0.1764 0.1350
0.5930 -5.6539 6.9540
Zr Pd Ce
1 1 2
Direct
0.5000 0.5000 0.5000
0.5000 0.5000 0.0000
0.0000 0.0000 0.7753
0.0000 0.0000 0.2247
```

E_form   -197.5 meV/atom
Distance to the lowest polymorph of the same formula   0.0 meV per atom

(6)
A plane-wave DFT calculation with PBE was carried out for crystalline CeZrPd6 at its relaxed geometry.

```
CeZrPd6
1.0
4.1013 0.0000 0.0000
0.0000 4.1013 0.0000
0.0000 0.0000 8.1975
Ce Zr Pd
1 1 6
Direct
0.0000 0.0000 0.0000
0.0000 0.0000 0.5000
0.5000 0.5000 0.0000
0.5000 0.5000 0.5000
0.5000 0.0000 0.2596
0.5000 0.0000 0.7404
0.0000 0.5000 0.2596
0.0000 0.5000 0.7404
```

E_form   -801.3 meV/atom

(7)
A plane-wave DFT calculation with PBE was carried out for crystalline CeZrPd at its relaxed geometry.

```
CeZrPd
1.0
3.3427 0.0000 0.0000
0.0000 3.3427 0.0000
-1.6713 -1.6713 6.0592
Zr Pd Ce
1 1 1
Direct
0.3104 0.3104 0.6208
0.6832 0.6832 0.3663
0.0064 0.0064 0.0128
```

E_form   -355.7 meV/atom
Distance to the lowest polymorph of the same formula   0.0 meV per atom

(8)
A plane-wave DFT calculation with PBE was carried out for crystalline Ce3ZrPd12 at its relaxed geometry.

```
Ce3ZrPd12
1.0
4.1284 0.0000 0.0000
0.0000 4.1284 0.0000
0.0000 0.0000 16.5354
Ce Zr Pd
3 1 12
Direct
0.0000 0.0000 0.2470
0.0000 0.0000 0.5000
0.0000 0.0000 0.7530
0.0000 0.0000 0.0000
0.5000 0.5000 0.0000
0.5000 0.5000 0.2452
0.5000 0.5000 0.5000
0.5000 0.5000 0.7548
0.5000 0.0000 0.1184
0.5000 0.0000 0.3730
0.5000 0.0000 0.6270
0.5000 0.0000 0.8816
0.0000 0.5000 0.1184
0.0000 0.5000 0.3730
0.0000 0.5000 0.6270
0.0000 0.5000 0.8816
```

E_form   -809.4 meV/atom

(9)
A plane-wave DFT calculation with PBE was carried out for crystalline Ce2ZrPd at its relaxed geometry.

```
Ce2ZrPd
1.0
-2.6128 0.4702 -1.5549
-1.8011 -2.3826 -0.7377
-6.8944 0.5312 8.7021
Zr Pd Ce
1 1 2
Direct
0.0000 0.0000 0.0000
0.5000 0.5000 0.5000
0.0911 0.0911 0.7268
0.9089 0.9089 0.2732
```

E_form   7.5 meV/atom
Distance to the lowest polymorph of the same formula   205.0 meV per atom

(10)
A plane-wave DFT calculation with PBE was carried out for crystalline CeZrPd4 at its relaxed geometry.

```
CeZrPd4
1.0
-0.8733 2.1338 -4.0273
-6.7708 -2.0901 0.3608
-3.2151 11.5960 6.8409
Ce Zr Pd
4 4 16
Direct
0.7500 0.2500 0.4496
0.2500 0.7500 0.5504
0.2500 0.2500 0.9496
0.7500 0.7500 0.0504
0.7500 0.7500 0.7686
0.2500 0.2500 0.2314
0.2500 0.7500 0.2686
0.7500 0.2500 0.7314
0.7500 0.9648 0.6030
0.2500 0.0352 0.3970
0.2500 0.5352 0.1030
0.7500 0.4648 0.8970
0.7500 0.7499 0.4097
0.2500 0.2501 0.5903
0.2500 0.7501 0.9097
0.7500 0.2499 0.0903
0.7500 0.0353 0.8971
0.2500 0.9647 0.1029
0.2500 0.4647 0.3971
0.7500 0.5353 0.6029
0.7500 0.9999 0.2500
0.2500 0.0001 0.7500
0.2500 0.5001 0.7500
0.7500 0.4999 0.2500
```

E_form   -658.1 meV/atom

(11)
A plane-wave DFT calculation with PBE was carried out for crystalline CeZrPd at its relaxed geometry.

```
CeZrPd
1.0
3.3085 0.0000 0.0000
0.0000 4.7331 0.0000
0.0000 -2.3665 4.0989
Zr Pd Ce
1 1 1
Direct
0.0119 0.0000 0.0000
0.3228 0.3333 0.6667
0.6652 0.6667 0.3333
```

E_form   -177.7 meV/atom
Distance to the lowest polymorph of the same formula   178.1 meV per atom

(12)
A plane-wave DFT calculation with PBE was carried out for crystalline CeZr3Pd12 at its relaxed geometry.

```
CeZr3Pd12
1.0
4.0657 0.0000 0.0000
0.0000 4.0656 0.0000
0.0000 0.0000 16.2931
Ce Zr Pd
1 3 12
Direct
0.0000 0.0000 0.0000
0.0000 0.0000 0.2528
0.0000 0.0000 0.5000
0.0000 0.0000 0.7472
0.5000 0.5000 0.0000
0.5000 0.5000 0.2555
0.5000 0.5000 0.5000
0.5000 0.5000 0.7445
0.5000 0.0000 0.1324
0.5000 0.0000 0.3774
0.5000 0.0000 0.6226
0.5000 0.0000 0.8676
0.0000 0.5000 0.1324
0.0000 0.5000 0.3774
0.0000 0.5000 0.6226
0.0000 0.5000 0.8676
```

E_form   -796.0 meV/atom

- Which of these has the lowest E_form?
  Ce3ZrPd12

- What is the formula in the eighth record?
  Ce3ZrPd12